The following is a PBE calculation of AgP3Pt after structural relaxation, from the Alexandria database.

Results
DFT formation energy (eV per formula unit): 4.4
Total moment (μB per formula unit): 0.00

```
data_AgP3Pt
_cell_length_a 4.7394
_cell_length_b 4.7394
_cell_length_c 4.7394
_cell_angle_alpha 90.00
_cell_angle_beta 90.00
_cell_angle_gamma 90.00
_symmetry_space_group_name_H-M 'P m -3 m'
_symmetry_Int_Tables_number 221
_symmetry_space_group_name_Hall '-P 4 2 3'
loop_
_atom_site_label
_atom_site_type_symbol
_atom_site_fract_x
_atom_site_fract_y
_atom_site_fract_z
_atom_site_occupancy
Ag1 Ag 0.0000 0.0000 0.0000 1
P1 P 0.0000 0.5000 0.5000 1
Pt1 Pt 0.5000 0.5000 0.5000 1
```